No. 1
This record from Alexandria via LeMat-Bulk describes an optimized crystal structure of YMg2Re. The functional is GGA-PBEsol.

Cell and atoms, written as CIF:
```
data_YMg2Re
_cell_length_a 4.137
_cell_length_b 4.154
_cell_length_c 4.643
_cell_angle_alpha 90.00
_cell_angle_beta 90.00
_cell_angle_gamma 90.00
_symmetry_space_group_name_H-M 'P m m m'
_symmetry_Int_Tables_number 47
loop_
_symmetry_equiv_pos_as_xyz
'x,y,z'
'-x,-y,-z'
'-x,-y,z'
'x,y,-z'
'x,-y,-z'
'-x,y,z'
'-x,y,-z'
'x,-y,z'
loop_
_atom_site_label
_atom_site_fract_x
_atom_site_fract_y
_atom_site_fract_z
_atom_site_occupancy
Y1 0.000 0.000 0.000 1
Mg1 0.000 0.500 0.500 1
Mg2 0.500 0.000 0.500 1
Re1 0.500 0.500 0.000 1
```

Excess energy over the best structure of this formula in the dataset = 0.32 eV per formula unit
DFT total energy = -5.52 eV per atom
Density = 6.74 g/cm3
Total magnetic moment = 0.10 μB/f.u.


No. 2
This record from Alexandria via LeMat-Bulk describes an optimized crystal structure of MgZn2Re. The functional is GGA-PBEsol.

Cell and atoms, written as CIF:
```
data_MgZn2Re
_cell_length_a 2.852
_cell_length_b 4.603
_cell_length_c 9.157
_cell_angle_alpha 90.00
_cell_angle_beta 90.00
_cell_angle_gamma 90.00
_symmetry_space_group_name_H-M 'I m m m'
_symmetry_Int_Tables_number 71
_symmetry_space_group_name_Hall '-I 2 2'
loop_
_atom_site_label
_atom_site_fract_x
_atom_site_fract_y
_atom_site_fract_z
_atom_site_occupancy
Mg1 0.000 0.000 0.000 1
Zn1 0.000 0.500 0.240 1
Re1 0.000 0.000 0.500 1
```

DFT total energy = -4.26 eV per atom
Density = 9.43 g/cm3
Total magnetic moment = 0.00 μB/f.u.


No. 3
This record from Alexandria via LeMat-Bulk describes an optimized crystal structure of Mg2ZnRe. The functional is GGA-PBEsol.

Cell and atoms, written as CIF:
```
data_Mg2ZnRe
_cell_length_a 2.745
_cell_length_b 2.745
_cell_length_c 8.797
_cell_angle_alpha 90.00
_cell_angle_beta 90.00
_cell_angle_gamma 90.00
_symmetry_space_group_name_H-M 'P 4 m m'
_symmetry_Int_Tables_number 99
loop_
_symmetry_equiv_pos_as_xyz
'x,y,z'
'-y,x,z'
'-x,-y,z'
'y,-x,z'
'-x,y,z'
'y,x,z'
'x,-y,z'
'-y,-x,z'
loop_
_atom_site_label
_atom_site_fract_x
_atom_site_fract_y
_atom_site_fract_z
_atom_site_occupancy
Mg1 0.000 0.000 0.000 1
Mg2 0.500 0.500 0.298 1
Zn1 0.500 0.500 0.759 1
Re1 0.000 0.000 0.539 1
```

DFT total energy = -4.30 eV per atom
Density = 7.52 g/cm3
Total magnetic moment = 0.00 μB/f.u.


No. 4
This record from Alexandria via LeMat-Bulk describes an optimized crystal structure of Mg2ZnRe. The functional is GGA-PBEsol.

Cell and atoms, written as CIF:
```
data_Mg2ZnRe
_cell_length_a 2.890
_cell_length_b 4.706
_cell_length_c 9.549
_cell_angle_alpha 90.00
_cell_angle_beta 90.00
_cell_angle_gamma 90.00
_symmetry_space_group_name_H-M 'I m m 2'
_symmetry_Int_Tables_number 44
loop_
_symmetry_equiv_pos_as_xyz
'x,y,z'
'-x,-y,z'
'-x,y,z'
'x,-y,z'
'x+1/2,y+1/2,z+1/2'
'-x+1/2,-y+1/2,z+1/2'
'-x+1/2,y+1/2,z+1/2'
'x+1/2,-y+1/2,z+1/2'
loop_
_atom_site_label
_atom_site_fract_x
_atom_site_fract_y
_atom_site_fract_z
_atom_site_occupancy
Mg1 0.000 0.000 0.000 1
Mg2 0.000 0.500 0.222 1
Zn1 0.000 0.000 0.476 1
Re1 0.000 0.500 0.752 1
```

DFT total energy = -4.30 eV per atom
Density = 7.68 g/cm3
Total magnetic moment = 0.00 μB/f.u.


No. 5
This record from Alexandria via LeMat-Bulk describes an optimized crystal structure of MgZn4Re. The functional is GGA-PBEsol.

Cell and atoms, written as CIF:
```
data_MgZn4Re
_cell_length_a 6.977
_cell_length_b 6.977
_cell_length_c 6.977
_cell_angle_alpha 90.00
_cell_angle_beta 90.00
_cell_angle_gamma 90.00
_symmetry_space_group_name_H-M 'F -4 3 m'
_symmetry_Int_Tables_number 216
_symmetry_space_group_name_Hall 'F -4 2 3'
loop_
_atom_site_label
_atom_site_fract_x
_atom_site_fract_y
_atom_site_fract_z
_atom_site_occupancy
Mg1 0.000 0.000 0.000 1
Zn1 0.124 0.124 0.624 1
Re1 0.250 0.250 0.250 1
```

DFT total energy = -3.37 eV per atom
Density = 9.23 g/cm3
Total magnetic moment = 0.00 μB/f.u.


No. 6
This record from Alexandria via LeMat-Bulk describes an optimized crystal structure of Mg2ZnRe. The functional is GGA-PBEsol.

Cell and atoms, written as CIF:
```
data_Mg2ZnRe
_cell_length_a 9.510
_cell_length_b 2.786
_cell_length_c 4.966
_cell_angle_alpha 90.00
_cell_angle_beta 101.06
_cell_angle_gamma 90.00
_symmetry_space_group_name_H-M 'C 1 m 1'
_symmetry_Int_Tables_number 8
loop_
_symmetry_equiv_pos_as_xyz
'x,y,z'
'x,-y,z'
'x+1/2,y+1/2,z'
'x+1/2,-y+1/2,z'
loop_
_atom_site_label
_atom_site_fract_x
_atom_site_fract_y
_atom_site_fract_z
_atom_site_occupancy
Mg1 0.000 0.000 0.000 1
Mg2 0.233 0.000 0.720 1
Zn1 0.248 0.500 0.262 1
Re1 0.482 0.000 0.486 1
```

DFT total energy = -4.34 eV per atom
Density = 7.72 g/cm3
Total magnetic moment = 0.00 μB/f.u.


No. 7
This record from Alexandria via LeMat-Bulk describes an optimized crystal structure of MgZn2Re. The functional is GGA-PBEsol.

Cell and atoms, written as CIF:
```
data_MgZn2Re
_cell_length_a 3.871
_cell_length_b 3.871
_cell_length_c 7.759
_cell_angle_alpha 90.00
_cell_angle_beta 90.00
_cell_angle_gamma 90.00
_symmetry_space_group_name_H-M 'I 4/m m m'
_symmetry_Int_Tables_number 139
_symmetry_space_group_name_Hall '-I 4 2'
loop_
_atom_site_label
_atom_site_fract_x
_atom_site_fract_y
_atom_site_fract_z
_atom_site_occupancy
Mg1 0.000 0.000 0.000 1
Zn1 0.000 0.500 0.250 1
Re1 0.000 0.000 0.500 1
```

DFT total energy = -4.26 eV per atom
Density = 9.75 g/cm3
Total magnetic moment = 0.00 μB/f.u.


No. 8
This record from Alexandria via LeMat-Bulk describes an optimized crystal structure of MgZnRe2. The functional is GGA-PBEsol.

Cell and atoms, written as CIF:
```
data_MgZnRe2
_cell_length_a 6.144
_cell_length_b 6.144
_cell_length_c 6.144
_cell_angle_alpha 90.00
_cell_angle_beta 90.00
_cell_angle_gamma 90.00
_symmetry_space_group_name_H-M 'F -4 3 m'
_symmetry_Int_Tables_number 216
_symmetry_space_group_name_Hall 'F -4 2 3'
loop_
_atom_site_label
_atom_site_fract_x
_atom_site_fract_y
_atom_site_fract_z
_atom_site_occupancy
Mg1 0.000 0.000 0.000 1
Zn1 0.250 0.250 0.750 1
Re1 0.000 0.000 0.500 1
Re2 0.250 0.250 0.250 1
```

DFT total energy = -7.35 eV per atom
Density = 13.24 g/cm3
Total magnetic moment = 0.00 μB/f.u.


No. 9
This record from Alexandria via LeMat-Bulk describes an optimized crystal structure of MgZn2Re. The functional is GGA-PBEsol.

Cell and atoms, written as CIF:
```
data_MgZn2Re
_cell_length_a 10.125
_cell_length_b 2.715
_cell_length_c 4.787
_cell_angle_alpha 90.00
_cell_angle_beta 116.79
_cell_angle_gamma 90.00
_symmetry_space_group_name_H-M 'C 1 m 1'
_symmetry_Int_Tables_number 8
loop_
_symmetry_equiv_pos_as_xyz
'x,y,z'
'x,-y,z'
'x+1/2,y+1/2,z'
'x+1/2,-y+1/2,z'
loop_
_atom_site_label
_atom_site_fract_x
_atom_site_fract_y
_atom_site_fract_z
_atom_site_occupancy
Mg1 0.000 0.000 0.000 1
Zn1 0.002 0.500 0.514 1
Zn2 0.256 0.500 0.092 1
Re1 0.247 0.000 0.576 1
```

DFT total energy = -4.41 eV per atom
Density = 9.65 g/cm3
Total magnetic moment = 0.00 μB/f.u.


No. 10
This record from Alexandria via LeMat-Bulk describes an optimized crystal structure of Mg8Rh. The functional is GGA-PBEsol.

Cell and atoms, written as CIF:
```
data_Mg8Rh
_cell_length_a 10.141
_cell_length_b 10.141
_cell_length_c 3.511
_cell_angle_alpha 90.00
_cell_angle_beta 90.00
_cell_angle_gamma 90.00
_symmetry_space_group_name_H-M 'I 4/m m m'
_symmetry_Int_Tables_number 139
_symmetry_space_group_name_Hall '-I 4 2'
loop_
_atom_site_label
_atom_site_fract_x
_atom_site_fract_y
_atom_site_fract_z
_atom_site_occupancy
Mg1 0.000 0.331 0.000 1
Mg2 0.149 0.149 0.500 1
Rh1 0.000 0.000 0.000 1
```

DFT total energy = -2.52 eV per atom
Density = 2.73 g/cm3
Total magnetic moment = 0.00 μB/f.u.


No. 11
This record from Alexandria via LeMat-Bulk describes an optimized crystal structure of Mg5Rh. The functional is GGA-PBEsol.

Cell and atoms, written as CIF:
```
data_Mg5Rh
_cell_length_a 10.606
_cell_length_b 3.217
_cell_length_c 7.286
_cell_angle_alpha 90.00
_cell_angle_beta 110.80
_cell_angle_gamma 90.00
_symmetry_space_group_name_H-M 'C 1 m 1'
_symmetry_Int_Tables_number 8
loop_
_symmetry_equiv_pos_as_xyz
'x,y,z'
'x,-y,z'
'x+1/2,y+1/2,z'
'x+1/2,-y+1/2,z'
loop_
_atom_site_label
_atom_site_fract_x
_atom_site_fract_y
_atom_site_fract_z
_atom_site_occupancy
Mg1 0.000 0.000 0.000 1
Mg2 0.020 0.000 0.433 1
Mg3 0.163 0.500 0.792 1
Mg4 0.305 0.000 0.152 1
Mg5 0.325 0.000 0.585 1
Rh1 0.162 0.500 0.293 1
```

Excess energy over the best structure of this formula in the dataset = 0.00 eV per formula unit
DFT total energy = -2.97 eV per atom
Density = 3.21 g/cm3
Total magnetic moment = 0.00 μB/f.u.


No. 12
This record from Alexandria via LeMat-Bulk describes an optimized crystal structure of Mg5Rh3. The functional is GGA-PBEsol.

Cell and atoms, written as CIF:
```
data_Mg5Rh3
_cell_length_a 6.544
_cell_length_b 8.708
_cell_length_c 4.402
_cell_angle_alpha 90.00
_cell_angle_beta 90.00
_cell_angle_gamma 90.00
_symmetry_space_group_name_H-M 'C m m m'
_symmetry_Int_Tables_number 65
_symmetry_space_group_name_Hall '-C 2 2'
loop_
_atom_site_label
_atom_site_fract_x
_atom_site_fract_y
_atom_site_fract_z
_atom_site_occupancy
Mg1 0.000 0.000 0.000 1
Mg2 0.219 0.500 0.500 1
Mg3 0.250 0.250 0.000 1
Rh1 0.000 0.232 0.500 1
Rh2 0.000 0.500 0.000 1
```

Excess energy over the best structure of this formula in the dataset = 0.00 eV per formula unit
DFT total energy = -4.47 eV per atom
Density = 5.70 g/cm3
Total magnetic moment = 0.00 μB/f.u.


No. 13
This record from Alexandria via LeMat-Bulk describes an optimized crystal structure of Mg3Rh5. The functional is GGA-PBEsol.

Cell and atoms, written as CIF:
```
data_Mg3Rh5
_cell_length_a 6.123
_cell_length_b 8.643
_cell_length_c 4.336
_cell_angle_alpha 90.00
_cell_angle_beta 90.00
_cell_angle_gamma 90.00
_symmetry_space_group_name_H-M 'C m m m'
_symmetry_Int_Tables_number 65
_symmetry_space_group_name_Hall '-C 2 2'
loop_
_atom_site_label
_atom_site_fract_x
_atom_site_fract_y
_atom_site_fract_z
_atom_site_occupancy
Mg1 0.000 0.000 0.000 1
Mg2 0.000 0.250 0.500 1
Rh1 0.000 0.500 0.000 1
Rh2 0.244 0.500 0.500 1
Rh3 0.250 0.250 0.000 1
```

DFT total energy = -5.95 eV per atom
Density = 8.50 g/cm3
Total magnetic moment = 0.31 μB/f.u.